First-principles (PBE) data for a relaxed Mn3GeN crystal, as listed in Alexandria.

Output
Magnetization in μB per cell: 2.9
Total energy in eV per formula unit: -41.1
Energy above the lowest structure with this stoichiometry in eV per formula unit: 0.76

Unit cell a=5.128 b=8.011 c=8.011 alpha=19.81 beta=90.00 gamma=90.00
Atoms (fractional coordinates):
Mn  0.000  0.000  0.000
Mn  0.000  0.244  0.244
Mn  0.239  0.384  0.384
Mn  0.261  0.624  0.624
Mn  0.739  0.624  0.624
Mn  0.761  0.384  0.384
Ge  0.500  0.242  0.242
Ge  0.500  0.997  0.997
N  0.000  0.123  0.123
N  0.000  0.833  0.833